Entry 1:
A relaxed Pm4IrRuBr2 crystal. Source: Alexandria via LeMat-Bulk, functional PBE-GGA.

The structure belongs to space group P2/m (No. 10); the cell edges are 7.097, 4.089 and 8.143 Å and the angles 90.00°, 106.80° and 90.00°. Symmetry generates all atoms from Pm at (0.229, 0.000, 0.197), Pm at (0.264, 0.500, 0.805), Ir at (0.500, 0.000, 0.000), Ru at (0.000, 0.500, 0.000), Br at (0.000, 0.000, 0.500) and Br at (0.500, 0.500, 0.500).

As for the density of states at the Fermi level: 4.42 states/eV/cell. Its formation energy without anion corrections is -0.9352 eV per atom.

=====

Entry 2:
A relaxed La2GaGePd6 crystal. Source: Alexandria via LeMat-Bulk, functional PBE-GGA.

The structure belongs to space group C2/m (No. 12); the cell edges are 11.972, 5.557 and 8.487 Å and the angles 90.00°, 133.92° and 90.00°. Symmetry generates all atoms from La at (0.249, 0.000, 0.224), Ga at (0.000, 0.500, 0.000), Ge at (0.000, 0.000, 0.500), Pd at (0.014, 0.250, 0.763) and Pd at (0.249, 0.500, 0.403).

As for the formation energy: -7.348 eV/f.u. As for the density of states at the Fermi level: 6.95 states/eV/cell.

=====

Entry 3:
A relaxed SrAcGaCu crystal. Source: Alexandria via LeMat-Bulk, functional PBE-GGA.

The structure belongs to space group R3m (No. 160, hexagonal axes); the cell edges are 4.4066, 4.4066 and 23.7073 Å and the angles 90.00°, 90.00° and 120.00°. Symmetry generates all atoms from Sr at (0.0000, 0.0000, 0.0000), Ac at (0.0000, 0.0000, 0.8274), Ga at (0.0000, 0.0000, 0.2437) and Cu at (0.0000, 0.0000, 0.5779).

As for the formation energy: -0.975 eV/f.u. As for the density of states at the Fermi level: 13.96 states/eV/cell.

=====

Entry 4:
A relaxed ThBeGa3 crystal. Source: Alexandria via LeMat-Bulk, functional PBE-GGA.

The structure belongs to space group I4mm (No. 107); the cell edges are 4.258, 4.258 and 9.951 Å and the angles 90.00°, 90.00° and 90.00°. Symmetry generates all atoms from Th at (0.000, 0.000, 0.000), Be at (0.000, 0.000, 0.633), Ga at (0.000, 0.000, 0.403) and Ga at (0.000, 0.500, 0.244).

As for the formation energy: -1.854 eV/f.u. As for the density of states at the Fermi level: 5.20 states/eV/cell.

=====

Entry 5:
A relaxed Tb5Rh2Au2 crystal. Source: Alexandria via LeMat-Bulk, functional PBE-GGA.

The structure belongs to space group Cmce (No. 64); the cell edges are 15.328, 7.476 and 7.608 Å and the angles 90.00°, 90.00° and 90.00°. Symmetry generates all atoms from Tb at (0.000, 0.000, 0.000), Tb at (0.130, 0.170, 0.330), Rh at (0.000, 0.133, 0.633) and Au at (0.207, 0.000, 0.000).

As for the formation energy: -7.123 eV/f.u. As for the density of states at the Fermi level: 30.46 states/eV/cell.

=====

Entry 6:
A relaxed SiBW2 crystal. Source: Alexandria via LeMat-Bulk, functional PBE-GGA.

The structure belongs to space group P2_1/m (No. 11); the cell edges are 4.770, 3.127 and 7.203 Å and the angles 90.00°, 108.89° and 90.00°. Symmetry generates all atoms from Si at (0.164, 0.250, 0.305), B at (0.156, 0.250, 0.808), W at (0.283, 0.750, 0.054) and W at (0.305, 0.750, 0.632).

As for the density of states at the Fermi level: 3.54 states/eV/cell. Its formation energy without anion corrections is -0.0553 eV per atom.